No. 1
Crystalline ZrCr at its relaxed geometry. Source: the Alexandria database, functional GGA-PBE.

```
ZrCr
1.0
2.956 0.000 0.000
0.000 2.956 0.000
0.000 0.000 7.977
Zr Cr
2 2
direct
0.000 0.500 0.183
0.500 0.000 0.817
0.000 0.500 0.575
0.500 0.000 0.425
```

Computed properties:
N(E_F) in states/eV/f.u.: 2.247
Energy in eV for the cell shown: -35.8
Formation energy in eV per atom: 0.126

---

No. 2
Crystalline AcSm7Tm2 at its relaxed geometry. Source: the Alexandria database, functional GGA-PBE.

```
AcSm7Tm2
1.0
0.573 3.112 -4.577
7.527 1.429 -4.849
-5.610 -7.525 -2.441
Tm Sm Ac
2 7 1
direct
0.501 0.699 0.398
0.499 0.301 0.602
0.000 0.203 0.406
0.247 0.365 0.223
0.754 0.858 0.223
0.000 0.797 0.594
0.246 0.142 0.777
0.500 0.500 0.000
0.753 0.635 0.777
0.000 0.000 0.000
```

Computed properties:
N(E_F) in states/eV/f.u.: 16.082
Energy in eV for the cell shown: -45.6
Formation energy in eV per atom: 0.050
Energy above the lowest structure with this stoichiometry in eV per formula unit: 0.000

---

No. 3
Crystalline H2SBr at its relaxed geometry. Source: the Alexandria database, functional GGA-PBE.

```
H2SBr
1.0
-0.868 -0.596 2.853
0.619 -2.705 1.244
6.742 1.684 4.025
S H Br
1 2 1
direct
0.500 0.500 0.500
0.856 0.856 0.432
0.144 0.144 0.568
0.000 0.000 0.000
```

Computed properties:
N(E_F) in states/eV/f.u.: 2.134
Energy in eV for the cell shown: -10.2
Energy above the lowest structure with this stoichiometry in eV per formula unit: 2.711

---

No. 4
Crystalline Th6Ir2RhAu3 at its relaxed geometry. Source: the Alexandria database, functional GGA-PBE.

```
Th6Ir2RhAu3
1.0
-1.986 3.304 1.521
-0.336 -3.801 7.822
8.978 3.419 -1.353
Ir Au Th Rh
2 3 6 1
direct
0.166 0.331 0.332
0.834 0.669 0.668
0.834 0.167 0.668
0.166 0.833 0.332
0.500 0.500 0.000
0.660 0.099 0.321
0.993 0.765 0.987
0.673 0.566 0.346
0.327 0.434 0.654
0.340 0.901 0.679
0.007 0.235 0.013
0.500 0.000 0.000
```

Computed properties:
N(E_F) in states/eV/f.u.: 6.631
Energy in eV for the cell shown: -89.0
Formation energy in eV per atom: -0.800

---

No. 5
Crystalline Pu2MgHg at its relaxed geometry. Source: the Alexandria database, functional GGA-PBE.

```
Pu2MgHg
1.0
-5.176 -1.742 -0.953
0.631 -2.981 2.021
-1.148 1.778 2.981
Pu Mg Hg
2 1 1
direct
0.000 0.000 0.500
0.000 0.500 0.000
0.500 0.500 0.500
0.500 0.000 0.000
```

Computed properties:
N(E_F) in states/eV/f.u.: 8.451
Energy in eV for the cell shown: -28.7
Formation energy in eV per atom: 0.464
Energy above the lowest structure with this stoichiometry in eV per formula unit: 1.624

---

No. 6
Crystalline Ba4PuF10 at its relaxed geometry. Source: the Alexandria database, functional GGA-PBE.

```
Ba4PuF10
1.0
0.360 -5.861 2.001
1.297 -5.078 -5.489
7.004 -2.194 1.932
F Ba Pu
10 4 1
direct
0.431 0.904 0.712
0.047 0.096 0.288
0.953 0.904 0.712
0.250 0.500 0.500
0.336 0.712 0.096
0.143 0.288 0.904
0.857 0.712 0.096
0.750 0.500 0.500
0.664 0.288 0.904
0.569 0.096 0.288
0.798 0.601 0.803
0.399 0.803 0.399
0.202 0.399 0.197
0.601 0.197 0.601
0.000 0.000 0.000
```

Computed properties:
Formation energy without anion corrections in kcal/mol of atoms: -85.6
N(E_F) in states/eV/f.u.: 9.424
Energy in eV for the cell shown: -96.4